Computed, not measured: a PBEsol-optimized structure of CsIr3W at the meta-GGA SCAN level of DFT.

Cell lengths 4.8430, 4.8430, 4.8430 Å; angles 90.00, 90.00, 90.00 degrees
Closest atoms and distances in Å follow each position.
Sites, in units of the cell vectors:
Ir 0.5000 0.0000 0.0000  2 W 2.42
Ir 0.0000 0.0000 0.5000  2 W 2.42
Ir 0.0000 0.5000 0.0000  2 W 2.42
Cs 0.5000 0.5000 0.5000  12 Ir 3.42
W 0.0000 0.0000 0.0000  6 Ir 2.42

Fermi-level density of states (states/eV per cell): 4.33
DFT total energy (eV/cell): -313.27
ΔE_f (eV/f.u.): 7.53

Computed, not measured: a PBEsol-optimized structure of Cs2Zn2Ir at the meta-GGA SCAN level of DFT.

Cell lengths 5.9661, 5.9661, 5.9661 Å; angles 105.42, 111.53, 111.53 degrees
Closest atoms and distances in Å follow each position.
Sites, in units of the cell vectors:
Cs 0.5000 0.2500 0.7500  4 Zn 3.41, 2 Cs 3.61, 4 Ir 3.81
Cs 0.5000 0.7500 0.2500  4 Zn 3.41, 2 Cs 3.61, 4 Ir 3.81
Zn 0.0000 0.3310 0.3310  1 Ir 2.39, 1 Zn 2.44
Zn 0.0000 0.6690 0.6690  1 Ir 2.39, 1 Zn 2.44
Ir 0.0000 0.0000 0.0000  2 Zn 2.39

Fermi-level density of states (states/eV per cell): 4.87
DFT total energy (eV/cell): -171.21
ΔE_f (eV/f.u.): 2.54

Computed, not measured: a PBEsol-optimized structure of CsZnIr3 at the meta-GGA SCAN level of DFT.

Cell lengths 4.6858, 4.6858, 4.6858 Å; angles 90.00, 90.00, 90.00 degrees
Closest atoms and distances in Å follow each position.
Sites, in units of the cell vectors:
Zn 0.0000 0.0000 0.0000  6 Ir 2.34
Ir 0.0000 0.5000 0.0000  2 Zn 2.34
Ir 0.5000 0.0000 0.0000  2 Zn 2.34
Ir 0.0000 0.0000 0.5000  2 Zn 2.34
Cs 0.5000 0.5000 0.5000  12 Ir 3.31

Fermi-level density of states (states/eV per cell): 5.17
DFT total energy (eV/cell): -255.83
ΔE_f (eV/f.u.): 8.80

Computed, not measured: a PBEsol-optimized structure of Cs6K7 at the meta-GGA SCAN level of DFT.

Cell lengths 8.9429, 8.9429, 32.4803 Å; angles 90.00, 90.00, 120.00 degrees
Closest atoms and distances in Å follow each position.
Sites, in units of the cell vectors:
K 0.8322 0.6645 0.6134  5 K 4.44-4.51, 2 Cs 4.93
K 0.0000 0.0000 0.0000  6 K 4.51
K 0.3355 0.1678 0.8866  5 K 4.44-4.51, 2 Cs 4.93
K 0.8322 0.1678 0.8866  5 K 4.44-4.51, 2 Cs 4.93
K 0.3355 0.1678 0.6134  5 K 4.44-4.51, 2 Cs 4.93
K 0.8322 0.6645 0.8866  5 K 4.44-4.51, 2 Cs 4.93
K 0.6645 0.8322 0.3866  5 K 4.44-4.51, 2 Cs 4.93
K 0.1678 0.3355 0.1134  5 K 4.44-4.51, 2 Cs 4.93
K 0.1678 0.8322 0.3866  5 K 4.44-4.51, 2 Cs 4.93
K 0.6645 0.8322 0.1134  5 K 4.44-4.51, 2 Cs 4.93
K 0.1678 0.8322 0.1134  5 K 4.44-4.51, 2 Cs 4.93
K 0.8322 0.1678 0.6134  5 K 4.44-4.51, 2 Cs 4.93
K 0.0000 0.0000 0.5000  6 K 4.51
K 0.1678 0.3355 0.3866  5 K 4.44-4.51, 2 Cs 4.93
Cs 0.6667 0.3333 0.4774  4 Cs 5.03-5.37, 12 K 5.11-5.36
Cs 0.6667 0.3333 0.3226  2 Cs 4.72-5.03, 6 K 4.93
Cs 0.6667 0.3333 0.0226  4 Cs 5.03-5.37, 12 K 5.11-5.36
Cs 0.0000 0.0000 0.2500  6 K 5.14, 9 Cs 5.16-5.68
Cs 0.6667 0.3333 0.1774  2 Cs 4.72-5.03, 6 K 4.93
Cs 0.3333 0.6667 0.8226  2 Cs 4.72-5.03, 6 K 4.93
Cs 0.3333 0.6667 0.5226  4 Cs 5.03-5.37, 12 K 5.11-5.36
Cs 0.3333 0.6667 0.9774  4 Cs 5.03-5.37, 12 K 5.11-5.36
Cs 0.3333 0.6667 0.6774  2 Cs 4.72-5.03, 6 K 4.93
Cs 0.0000 0.0000 0.7500  6 K 5.14, 9 Cs 5.16-5.68
Cs 0.3333 0.6667 0.2500  6 K 5.12, 9 Cs 5.16-5.68
Cs 0.6667 0.3333 0.7500  6 K 5.12, 9 Cs 5.16-5.68

Fermi-level density of states (states/eV per cell): 21.66
DFT total energy (eV/cell): -570.42
ΔE_f (eV/f.u.): -0.05

Computed, not measured: a PBEsol-optimized structure of CsK at the meta-GGA SCAN level of DFT.

Cell lengths 5.2176, 5.2176, 6.3841 Å; angles 90.00, 90.00, 89.86 degrees
Closest atoms and distances in Å follow each position.
Sites, in units of the cell vectors:
K 0.5000 0.5000 0.5000  8 Cs 4.88, 4 K 5.22
Cs 0.0000 0.0000 0.0000  8 K 4.88, 4 Cs 5.22

Fermi-level density of states (states/eV per cell): 1.83
DFT total energy (eV/cell): -46.12
ΔE_f (eV/f.u.): 0.02

Computed, not measured: a PBEsol-optimized structure of CsK2 at the meta-GGA SCAN level of DFT.

Cell lengths 8.8715, 8.8715, 14.5136 Å; angles 90.00, 90.00, 120.00 degrees
Closest atoms and distances in Å follow each position.
Sites, in units of the cell vectors:
Cs 0.3333 0.6667 0.9366  12 K 5.20, 4 Cs 5.42-5.44
Cs 0.3333 0.6667 0.5634  12 K 5.20, 4 Cs 5.42-5.44
Cs 0.6667 0.3333 0.4366  12 K 5.20, 4 Cs 5.42-5.44
Cs 0.6667 0.3333 0.0634  12 K 5.20, 4 Cs 5.42-5.44
K 0.6605 0.8302 0.2500  6 K 4.35-4.52
K 0.8302 0.1698 0.7500  6 K 4.35-4.52
K 0.1698 0.8302 0.2500  6 K 4.35-4.52
K 0.0000 0.0000 0.5000  6 K 4.47
K 0.1698 0.3395 0.2500  6 K 4.35-4.52
K 0.0000 0.0000 0.0000  6 K 4.47
K 0.8302 0.6605 0.7500  6 K 4.35-4.52
K 0.3395 0.1698 0.7500  6 K 4.35-4.52

Fermi-level density of states (states/eV per cell): 9.41
DFT total energy (eV/cell): -217.92
ΔE_f (eV/f.u.): -0.01

Computed, not measured: a PBEsol-optimized structure of Cs3K at the meta-GGA SCAN level of DFT.

Cell lengths 8.3247, 10.3469, 10.3469 Å; angles 120.00, 90.00, 90.00 degrees
Closest atoms and distances in Å follow each position.
Sites, in units of the cell vectors:
Cs 0.2500 0.8294 0.6588  8 Cs 5.05-5.29, 4 K 5.08-5.17
Cs 0.7500 0.6588 0.8294  8 Cs 5.05-5.29, 4 K 5.08-5.17
Cs 0.7500 0.1706 0.8294  8 Cs 5.05-5.29, 4 K 5.08-5.17
Cs 0.2500 0.8294 0.1706  8 Cs 5.05-5.29, 4 K 5.08-5.17
Cs 0.7500 0.1706 0.3412  8 Cs 5.05-5.29, 4 K 5.08-5.17
Cs 0.2500 0.3412 0.1706  8 Cs 5.05-5.29, 4 K 5.08-5.17
K 0.7500 0.6667 0.3333  12 Cs 5.08-5.17
K 0.2500 0.3333 0.6667  12 Cs 5.08-5.17

Fermi-level density of states (states/eV per cell): 7.71
DFT total energy (eV/cell): -243.51
ΔE_f (eV/f.u.): 0.01

Computed, not measured: a PBEsol-optimized structure of CsK2LaV2O8 at the meta-GGA SCAN level of DFT.

Cell lengths 5.9903, 7.7777, 10.0041 Å; angles 91.47, 90.00, 90.00 degrees
Closest atoms and distances in Å follow each position.
Sites, in units of the cell vectors:
K 0.2500 0.3063 0.9169  7 O 2.72-3.00
K 0.7500 0.9953 0.8112  7 O 2.74-3.06
K 0.7500 0.6937 0.0831  7 O 2.72-3.00
K 0.2500 0.0047 0.1888  7 O 2.74-3.06
La 0.7500 0.4947 0.7111  7 O 2.39-2.59
La 0.2500 0.5053 0.2889  7 O 2.39-2.59
O 0.2500 0.2206 0.4175  1 V 1.72
O 0.4875 0.6606 0.8403  1 V 1.73
O 0.5125 0.3394 0.1597  1 V 1.73
O 0.7500 0.0435 0.0858  1 V 1.69
O 0.2500 0.6765 0.0823  1 V 1.72
O 0.5151 0.7400 0.3354  1 V 1.72
O 0.2500 0.9565 0.9142  1 V 1.69
O 0.0125 0.6606 0.8403  1 V 1.73
O 0.0151 0.2600 0.6646  1 V 1.72
O 0.9849 0.7400 0.3354  1 V 1.72
O 0.9875 0.3394 0.1597  1 V 1.73
O 0.2500 0.5262 0.5437  1 V 1.69
O 0.7500 0.4738 0.4563  1 V 1.69
O 0.7500 0.3235 0.9177  1 V 1.72
O 0.7500 0.7794 0.5825  1 V 1.72
O 0.4849 0.2600 0.6646  1 V 1.72
V 0.7500 0.2604 0.0811  4 O 1.69-1.73
V 0.2500 0.3139 0.5753  4 O 1.69-1.72
V 0.2500 0.7396 0.9189  4 O 1.69-1.73
V 0.7500 0.6861 0.4247  4 O 1.69-1.72
Cs 0.2500 0.8787 0.5931  3 O 2.77-3.09
Cs 0.7500 0.1213 0.4069  3 O 2.77-3.09

Fermi-level density of states (states/eV per cell): 0.00
Raw formation energy (meV per atom): -2826
DFT total energy (eV/cell): -443.94

Computed, not measured: a PBEsol-optimized structure of CsKNa2Li12Si4O16 at the meta-GGA SCAN level of DFT.

Cell lengths 6.3636, 8.3938, 8.3938 Å; angles 81.74, 67.72, 67.72 degrees
Closest atoms and distances in Å follow each position.
Sites, in units of the cell vectors:
O 0.3761 0.1108 0.7035  1 Si 1.65
O 0.3270 0.7721 0.5738  1 Si 1.64
O 0.1904 0.8892 0.2965  1 Si 1.65
O 0.1617 0.2757 0.4008  1 Si 1.66
O 0.4869 0.7035 0.8892  1 Si 1.65
O 0.9205 0.7035 0.8892  1 Si 1.65
O 0.8383 0.7243 0.5992  1 Si 1.66
O 0.0795 0.2965 0.1108  1 Si 1.65
O 0.6239 0.8892 0.2965  1 Si 1.65
O 0.4374 0.4008 0.7243  1 Si 1.66
O 0.5131 0.2965 0.1108  1 Si 1.65
O 0.5626 0.5992 0.2757  1 Si 1.66
O 0.6730 0.2279 0.4262  1 Si 1.64
O 0.0992 0.5738 0.2279  1 Si 1.64
O 0.8096 0.1108 0.7035  1 Si 1.65
O 0.9008 0.4262 0.7721  1 Si 1.64
Li 0.2877 0.6370 0.7875  4 O 1.90-2.03
Li 0.0181 0.1296 0.3507  3 O 1.90-1.95
Li 0.8523 0.6493 0.1296  3 O 1.90-1.95
Li 0.9819 0.8704 0.6493  3 O 1.90-1.95
Li 0.9248 0.7875 0.3630  4 O 1.90-2.03
Li 0.7123 0.3630 0.2125  4 O 1.90-2.03
Li 0.5017 0.1296 0.3507  3 O 1.90-1.95
Li 0.0752 0.2125 0.6370  4 O 1.90-2.03
Li 0.1477 0.3507 0.8704  3 O 1.90-1.95
Li 0.4983 0.8704 0.6493  3 O 1.90-1.95
Li 0.6313 0.3507 0.8704  3 O 1.90-1.95
Li 0.3687 0.6493 0.1296  3 O 1.90-1.95
Si 0.7847 0.6367 0.7938  4 O 1.64-1.66
Si 0.5786 0.2062 0.6367  4 O 1.64-1.66
Si 0.4214 0.7938 0.3633  4 O 1.64-1.66
Si 0.2153 0.3633 0.2062  4 O 1.64-1.66
Na 0.2500 0.5000 0.5000  8 O 2.48-2.71
Na 0.7500 0.5000 0.5000  8 O 2.48-2.71
K 0.5000 0.0000 0.0000  8 O 2.82
Cs 0.0000 0.0000 0.0000  8 O 3.05, 2 K 3.18, 12 Li 3.27-3.34

Fermi-level density of states (states/eV per cell): 0.00
Raw formation energy (meV per atom): -2538
DFT total energy (eV/cell): -314.38

Computed, not measured: a PBEsol-optimized structure of Cs2KMgSc at the meta-GGA SCAN level of DFT.

Cell lengths 6.7526, 7.1980, 7.1980 Å; angles 90.00, 90.00, 90.00 degrees
Closest atoms and distances in Å follow each position.
Sites, in units of the cell vectors:
K 0.5000 0.0000 0.0000  2 Mg 3.38
Cs 0.0000 0.5000 0.0000  2 Mg 3.60
Cs 0.0000 0.0000 0.5000  2 Mg 3.60
Mg 0.0000 0.0000 0.0000  2 K 3.38, 4 Cs 3.60
Sc 0.5000 0.5000 0.5000  8 Cs 4.93, 4 K 5.09

Fermi-level density of states (states/eV per cell): 6.84
DFT total energy (eV/cell): -99.07
ΔE_f (eV/f.u.): 4.09

Computed, not measured: a PBEsol-optimized structure of Cs2KMn at the meta-GGA SCAN level of DFT.

Cell lengths 6.9020, 6.9020, 6.9020 Å; angles 60.00, 60.00, 60.00 degrees
Closest atoms and distances in Å follow each position.
Sites, in units of the cell vectors:
Cs 0.2500 0.2500 0.2500  4 Mn 4.23, 4 K 4.23
Cs 0.7500 0.7500 0.7500  4 Mn 4.23, 4 K 4.23
K 0.0000 0.0000 0.0000  8 Cs 4.23
Mn 0.5000 0.5000 0.5000  8 Cs 4.23

Fermi-level density of states (states/eV per cell): 4.58
DFT total energy (eV/cell): -100.24
ΔE_f (eV/f.u.): 1.96

Computed, not measured: a PBEsol-optimized structure of CsKN2 at the meta-GGA SCAN level of DFT.

Cell lengths 4.9964, 4.9964, 4.9964 Å; angles 60.00, 60.00, 60.00 degrees
Closest atoms and distances in Å follow each position.
Sites, in units of the cell vectors:
N 0.7500 0.7500 0.7500  4 K 3.06, 4 Cs 3.06
N 0.2500 0.2500 0.2500  4 Cs 3.06, 4 K 3.06
Cs 0.5000 0.5000 0.5000  8 N 3.06
K 0.0000 0.0000 0.0000  8 N 3.06

Fermi-level density of states (states/eV per cell): 3.51
Raw formation energy (meV per atom): 1184
DFT total energy (eV/cell): -59.99

Question: Which value of Fermi-level density of states does entry 1 give?
Answer: 4.33 states/eV per cell